[1]
Material: La2GeS5
Method: DFT, meta-GGA SCAN
State: single point on PBEsol structure

Cell and atoms, written as CIF:
```
data_La2GeS5
_chemical_formula_sum 'La8 Ge4 S20'
_symmetry_space_group_name_H-M 'P 1 21/c 1'
_symmetry_Int_Tables_number 14
_cell_length_a 7.5561
_cell_length_b 12.6319
_cell_length_c 7.8191
_cell_angle_alpha 90.00
_cell_angle_beta 101.17
_cell_angle_gamma 90.00
loop_
_symmetry_equiv_pos_as_xyz
'x,y,z'
'-x,-y,-z'
'-x,y+1/2,-z+1/2'
'x,-y+1/2,z+1/2'
loop_
_atom_site_label
_atom_site_type_symbol
_atom_site_fract_x
_atom_site_fract_y
_atom_site_fract_z
La1 La 0.1578 0.1667 0.1355
La2 La 0.2384 0.5943 0.0393
Ge1 Ge 0.3403 0.6173 0.5894
S1 S 0.1254 0.7067 0.6963
S2 S 0.1406 0.1202 0.5019
S3 S 0.1694 0.5247 0.3791
S4 S 0.4218 0.0079 0.2835
S5 S 0.4593 0.2363 0.9537
```

Properties
Uncorrected formation energy, meV/atom: -1754
Density of states at the Fermi level, states/eV per cell: 0.00
Total DFT energy (no corrections), eV per atom: -20.934

=====

[2]
Material: MgTlPt2
Method: DFT, meta-GGA SCAN
State: single point on PBEsol structure

Cell and atoms, written as CIF:
```
data_MgTlPt2
_chemical_formula_sum 'Mg1 Tl1 Pt2'
_symmetry_space_group_name_H-M 'P 4/m m m'
_symmetry_Int_Tables_number 123
_symmetry_space_group_name_Hall '-P 4 2'
_cell_length_a 4.1533
_cell_length_b 4.1533
_cell_length_c 3.9022
_cell_angle_alpha 90.00
_cell_angle_beta 90.00
_cell_angle_gamma 90.00
loop_
_atom_site_label
_atom_site_type_symbol
_atom_site_fract_x
_atom_site_fract_y
_atom_site_fract_z
Mg1 Mg 0.0000 0.0000 0.0000
Tl1 Tl 0.5000 0.5000 0.0000
Pt1 Pt 0.0000 0.5000 0.5000
```

Properties
Density of states at the Fermi level, states/eV per cell: 0.90
Total DFT energy (no corrections), eV per atom: -54.881

=====

[3]
Material: NbCoPS2
Method: DFT, meta-GGA SCAN
State: single point on PBEsol structure

Cell and atoms, written as CIF:
```
data_NbCoPS2
_chemical_formula_sum 'Nb1 Co1 P1 S2'
_symmetry_space_group_name_H-M 'P 4/m m m'
_symmetry_Int_Tables_number 123
_symmetry_space_group_name_Hall '-P 4 2'
_cell_length_a 4.2694
_cell_length_b 4.2694
_cell_length_c 4.2479
_cell_angle_alpha 90.00
_cell_angle_beta 90.00
_cell_angle_gamma 90.00
loop_
_atom_site_label
_atom_site_type_symbol
_atom_site_fract_x
_atom_site_fract_y
_atom_site_fract_z
Nb1 Nb 0.0000 0.0000 0.0000
Co1 Co 0.5000 0.5000 0.5000
P1 P 0.5000 0.5000 0.0000
S1 S 0.0000 0.5000 0.5000
```

Properties
Uncorrected formation energy, meV/atom: 392
Energy above the lowest structure with this stoichiometry, meV per atom: 0
Density of states at the Fermi level, states/eV per cell: 3.34
Total DFT energy (no corrections), eV per atom: -15.625

=====

[4]
Material: CaPPt
Method: DFT, meta-GGA SCAN
State: single point on PBEsol structure

Cell and atoms, written as CIF:
```
data_CaPPt
_chemical_formula_sum 'Ca1 P1 Pt1'
_symmetry_space_group_name_H-M 'P -6 m 2'
_symmetry_Int_Tables_number 187
_symmetry_space_group_name_Hall 'P -6 2'
_cell_length_a 4.0332
_cell_length_b 4.0332
_cell_length_c 4.1273
_cell_angle_alpha 90.00
_cell_angle_beta 90.00
_cell_angle_gamma 120.00
loop_
_atom_site_label
_atom_site_type_symbol
_atom_site_fract_x
_atom_site_fract_y
_atom_site_fract_z
Ca1 Ca 0.0000 0.0000 0.0000
P1 P 0.3333 0.6667 0.5000
Pt1 Pt 0.6667 0.3333 0.5000
```

Properties
Density of states at the Fermi level, states/eV per cell: 1.30
Total DFT energy (no corrections), eV per atom: -31.393

=====

[5]
Material: RbScS2Cl
Method: DFT, meta-GGA SCAN
State: single point on PBEsol structure

Cell and atoms, written as CIF:
```
data_RbScS2Cl
_chemical_formula_sum 'Rb1 Sc1 S2 Cl1'
_symmetry_space_group_name_H-M 'P 4/m m m'
_symmetry_Int_Tables_number 123
_symmetry_space_group_name_Hall '-P 4 2'
_cell_length_a 4.9028
_cell_length_b 4.9028
_cell_length_c 5.2135
_cell_angle_alpha 90.00
_cell_angle_beta 90.00
_cell_angle_gamma 90.00
loop_
_atom_site_label
_atom_site_type_symbol
_atom_site_fract_x
_atom_site_fract_y
_atom_site_fract_z
Rb1 Rb 0.0000 0.0000 0.0000
Sc1 Sc 0.5000 0.5000 0.5000
S1 S 0.0000 0.5000 0.5000
Cl1 Cl 0.5000 0.5000 0.0000
```

Properties
Uncorrected formation energy, meV/atom: -1695
Density of states at the Fermi level, states/eV per cell: 2.31
Total DFT energy (no corrections), eV per atom: -14.138

=====

[6]
Material: Zn2PtAu
Method: DFT, meta-GGA SCAN
State: single point on PBEsol structure

Cell and atoms, written as CIF:
```
data_Zn2PtAu
_chemical_formula_sum 'Zn2 Pt1 Au1'
_symmetry_space_group_name_H-M 'P m m 2'
_symmetry_Int_Tables_number 25
_cell_length_a 2.7936
_cell_length_b 3.9595
_cell_length_c 5.3832
_cell_angle_alpha 90.00
_cell_angle_beta 90.00
_cell_angle_gamma 90.00
loop_
_symmetry_equiv_pos_as_xyz
'x,y,z'
'-x,-y,z'
'-x,y,z'
'x,-y,z'
loop_
_atom_site_label
_atom_site_type_symbol
_atom_site_fract_x
_atom_site_fract_y
_atom_site_fract_z
Zn1 Zn 0.0000 0.0000 0.0000
Zn2 Zn 0.5000 0.5000 0.2918
Pt1 Pt 0.5000 0.5000 0.8149
Au1 Au 0.0000 0.0000 0.4974
```

Properties
Density of states at the Fermi level, states/eV per cell: 1.19
Total DFT energy (no corrections), eV per atom: -41.950

=====

[7]
Material: RbTe2HI
Method: DFT, meta-GGA SCAN
State: single point on PBEsol structure

Cell and atoms, written as CIF:
```
data_RbTe2HI
_chemical_formula_sum 'Rb1 Te2 H1 I1'
_symmetry_space_group_name_H-M 'P 4/m m m'
_symmetry_Int_Tables_number 123
_symmetry_space_group_name_Hall '-P 4 2'
_cell_length_a 6.9510
_cell_length_b 6.9510
_cell_length_c 6.7350
_cell_angle_alpha 90.00
_cell_angle_beta 90.00
_cell_angle_gamma 90.00
loop_
_atom_site_label
_atom_site_type_symbol
_atom_site_fract_x
_atom_site_fract_y
_atom_site_fract_z
Rb1 Rb 0.0000 0.0000 0.0000
Te1 Te 0.0000 0.5000 0.0000
H1 H 0.5000 0.5000 0.5000
I1 I 0.0000 0.0000 0.5000
```

Properties
Density of states at the Fermi level, states/eV per cell: 4.53
Total DFT energy (no corrections), eV per atom: -26.248

=====

[8]
Material: CaTc2As
Method: DFT, meta-GGA SCAN
State: single point on PBEsol structure

Cell and atoms, written as CIF:
```
data_CaTc2As
_chemical_formula_sum 'Ca1 Tc2 As1'
_symmetry_space_group_name_H-M 'P 1 m 1'
_symmetry_Int_Tables_number 6
_cell_length_a 3.1720
_cell_length_b 4.0731
_cell_length_c 5.8074
_cell_angle_alpha 90.00
_cell_angle_beta 92.34
_cell_angle_gamma 90.00
loop_
_symmetry_equiv_pos_as_xyz
'x,y,z'
'x,-y,z'
loop_
_atom_site_label
_atom_site_type_symbol
_atom_site_fract_x
_atom_site_fract_y
_atom_site_fract_z
Ca1 Ca 0.0000 0.0000 0.0000
Tc1 Tc 0.5090 0.0000 0.4702
Tc2 Tc 0.9519 0.5000 0.4228
As1 As 0.4772 0.5000 0.7517
```

Properties
Density of states at the Fermi level, states/eV per cell: 3.39
Total DFT energy (no corrections), eV per atom: -25.010

=====

[9]
Material: LaZr2F11
Method: DFT, meta-GGA SCAN
State: single point on PBEsol structure

Cell and atoms, written as CIF:
```
data_LaZr2F11
_chemical_formula_sum 'La4 Zr8 F44'
_symmetry_space_group_name_H-M 'I b a m'
_symmetry_Int_Tables_number 72
_symmetry_space_group_name_Hall '-I 2 2c'
_cell_length_a 7.7836
_cell_length_b 10.0947
_cell_length_c 11.0551
_cell_angle_alpha 90.00
_cell_angle_beta 90.00
_cell_angle_gamma 90.00
loop_
_atom_site_label
_atom_site_type_symbol
_atom_site_fract_x
_atom_site_fract_y
_atom_site_fract_z
La1 La 0.0000 0.0000 0.2500
Zr1 Zr 0.1323 0.3190 0.0000
F1 F 0.0000 0.5000 0.0000
F2 F 0.1028 0.1851 0.1354
F3 F 0.1301 0.2811 0.5000
F4 F 0.2368 0.0778 0.3715
```

Properties
Uncorrected formation energy, meV/atom: -4126
Density of states at the Fermi level, states/eV per cell: 0.00
Total DFT energy (no corrections), eV per atom: -14.372

=====

[10]
Material: RbMgSiAs2
Method: DFT, meta-GGA SCAN
State: single point on PBEsol structure

Cell and atoms, written as CIF:
```
data_RbMgSiAs2
_chemical_formula_sum 'Rb1 Mg1 Si1 As2'
_symmetry_space_group_name_H-M 'P 4/m m m'
_symmetry_Int_Tables_number 123
_symmetry_space_group_name_Hall '-P 4 2'
_cell_length_a 5.4843
_cell_length_b 5.4843
_cell_length_c 5.2601
_cell_angle_alpha 90.00
_cell_angle_beta 90.00
_cell_angle_gamma 90.00
loop_
_atom_site_label
_atom_site_type_symbol
_atom_site_fract_x
_atom_site_fract_y
_atom_site_fract_z
Rb1 Rb 0.0000 0.0000 0.0000
Mg1 Mg 0.5000 0.5000 0.5000
Si1 Si 0.0000 0.0000 0.5000
As1 As 0.0000 0.5000 0.0000
```

Properties
Uncorrected formation energy, meV/atom: 1833
Density of states at the Fermi level, states/eV per cell: 5.16
Total DFT energy (no corrections), eV per atom: -13.389

=====

[11]
Material: ThTeAs
Method: DFT, meta-GGA SCAN
State: single point on PBEsol structure

Cell and atoms, written as CIF:
```
data_ThTeAs
_chemical_formula_sum 'Th2 Te2 As2'
_symmetry_space_group_name_H-M 'P 4/n m m'
_symmetry_Int_Tables_number 129
_cell_length_a 4.2546
_cell_length_b 4.2546
_cell_length_c 8.7875
_cell_angle_alpha 90.00
_cell_angle_beta 90.00
_cell_angle_gamma 90.00
loop_
_symmetry_equiv_pos_as_xyz
'x,y,z'
'-x,-y,-z'
'-y+1/2,x,z'
'y+1/2,-x,-z'
'-x+1/2,-y+1/2,z'
'x+1/2,y+1/2,-z'
'y,-x+1/2,z'
'-y,x+1/2,-z'
'x+1/2,-y,-z'
'-x+1/2,y,z'
'-y,-x,-z'
'y,x,z'
'-x,y+1/2,-z'
'x,-y+1/2,z'
'y+1/2,x+1/2,-z'
'-y+1/2,-x+1/2,z'
loop_
_atom_site_label
_atom_site_type_symbol
_atom_site_fract_x
_atom_site_fract_y
_atom_site_fract_z
Th1 Th 0.2500 0.2500 0.2438
Te1 Te 0.2500 0.2500 0.6273
As1 As 0.2500 0.7500 0.0000
```

Properties
Uncorrected formation energy, meV/atom: -1236
Density of states at the Fermi level, states/eV per cell: 1.54
Total DFT energy (no corrections), eV per atom: -52.356

=====

[12]
Material: Ru2RhW
Method: DFT, meta-GGA SCAN
State: single point on PBEsol structure

Cell and atoms, written as CIF:
```
data_Ru2RhW
_chemical_formula_sum 'Ru4 Rh2 W2'
_symmetry_space_group_name_H-M 'I -4 m 2'
_symmetry_Int_Tables_number 119
_symmetry_space_group_name_Hall 'I -4 -2'
_cell_length_a 3.8186
_cell_length_b 3.8186
_cell_length_c 7.6151
_cell_angle_alpha 90.00
_cell_angle_beta 90.00
_cell_angle_gamma 90.00
loop_
_atom_site_label
_atom_site_type_symbol
_atom_site_fract_x
_atom_site_fract_y
_atom_site_fract_z
Ru1 Ru 0.0000 0.0000 0.0000
Ru2 Ru 0.0000 0.5000 0.2500
Rh1 Rh 0.0000 0.5000 0.7500
W1 W 0.0000 0.0000 0.5000
```

Properties
Energy above the lowest structure with this stoichiometry, meV per atom: 44
Density of states at the Fermi level, states/eV per cell: 5.16
Total DFT energy (no corrections), eV per atom: -43.357

=====

[13]
Material: Y2TlGa
Method: DFT, meta-GGA SCAN
State: single point on PBEsol structure

Cell and atoms, written as CIF:
```
data_Y2TlGa
_chemical_formula_sum 'Y8 Tl4 Ga4'
_symmetry_space_group_name_H-M 'F m -3 m'
_symmetry_Int_Tables_number 225
_symmetry_space_group_name_Hall '-F 4 2 3'
_cell_length_a 7.2756
_cell_length_b 7.2756
_cell_length_c 7.2756
_cell_angle_alpha 90.00
_cell_angle_beta 90.00
_cell_angle_gamma 90.00
loop_
_atom_site_label
_atom_site_type_symbol
_atom_site_fract_x
_atom_site_fract_y
_atom_site_fract_z
Y1 Y 0.2500 0.2500 0.2500
Tl1 Tl 0.0000 0.0000 0.0000
Ga1 Ga 0.0000 0.0000 0.5000
```

Properties
Density of states at the Fermi level, states/eV per cell: 8.26
Total DFT energy (no corrections), eV per atom: -36.735